[1]
Here is an optimized crystal structure of SmPuPaPb from the Alexandria database. Energies are from PBE-GGA.

Calculated values
Raw total energy in eV per atom: -7.936
Crystal system: cubic

Geometry as CIF:
```
data_SmPuPaPb
_chemical_formula_sum 'Sm4 Pu4 Pa4 Pb4'
_symmetry_space_group_name_H-M 'F -4 3 m'
_symmetry_Int_Tables_number 216
_symmetry_space_group_name_Hall 'F -4 2 3'
_cell_length_a 7.569
_cell_length_b 7.569
_cell_length_c 7.569
_cell_angle_alpha 90.00
_cell_angle_beta 90.00
_cell_angle_gamma 90.00
loop_
_atom_site_label
_atom_site_type_symbol
_atom_site_fract_x
_atom_site_fract_y
_atom_site_fract_z
_atom_site_occupancy
Sm1 Sm 0.000 0.000 0.000 1
Pu1 Pu 0.000 0.000 0.500 1
Pa1 Pa 0.250 0.250 0.750 1
Pb1 Pb 0.250 0.250 0.250 1
```

[2]
Here is an optimized crystal structure of Na2ScNb from the Alexandria database. Energies are from PBE-GGA.

Calculated values
Crystal system: cubic
Energy above the most stable polymorph in this dataset in kJ/mol of atoms: 0.4

Geometry as CIF:
```
data_Na2ScNb
_chemical_formula_sum 'Na8 Sc4 Nb4'
_symmetry_space_group_name_H-M 'F m -3 m'
_symmetry_Int_Tables_number 225
_symmetry_space_group_name_Hall '-F 4 2 3'
_cell_length_a 7.200
_cell_length_b 7.200
_cell_length_c 7.200
_cell_angle_alpha 90.00
_cell_angle_beta 90.00
_cell_angle_gamma 90.00
loop_
_atom_site_label
_atom_site_type_symbol
_atom_site_fract_x
_atom_site_fract_y
_atom_site_fract_z
_atom_site_occupancy
Na1 Na 0.250 0.250 0.250 1
Sc1 Sc 0.000 0.000 0.000 1
Nb1 Nb 0.000 0.000 0.500 1
```

[3]
Here is an optimized crystal structure of CsMgIn2Pt from the Alexandria database. Energies are from PBE-GGA.

Calculated values
Raw total energy in eV per atom: -3.051
Crystal system: tetragonal

Geometry as CIF:
```
data_CsMgIn2Pt
_chemical_formula_sum 'Cs1 Mg1 In2 Pt1'
_symmetry_space_group_name_H-M 'P 4/m m m'
_symmetry_Int_Tables_number 123
_symmetry_space_group_name_Hall '-P 4 2'
_cell_length_a 5.358
_cell_length_b 5.358
_cell_length_c 5.309
_cell_angle_alpha 90.00
_cell_angle_beta 90.00
_cell_angle_gamma 90.00
loop_
_atom_site_label
_atom_site_type_symbol
_atom_site_fract_x
_atom_site_fract_y
_atom_site_fract_z
_atom_site_occupancy
Cs1 Cs 0.000 0.000 0.000 1
Mg1 Mg 0.500 0.500 0.000 1
In1 In 0.000 0.500 0.500 1
Pt1 Pt 0.500 0.500 0.500 1
```

[4]
Here is an optimized crystal structure of KZn2SiIr from the Alexandria database. Energies are from PBE-GGA.

Calculated values
Formation energy without anion corrections in eV per atom: -0.220
Crystal system: tetragonal

Geometry as CIF:
```
data_KZn2SiIr
_chemical_formula_sum 'K1 Zn2 Si1 Ir1'
_symmetry_space_group_name_H-M 'P 4/m m m'
_symmetry_Int_Tables_number 123
_symmetry_space_group_name_Hall '-P 4 2'
_cell_length_a 4.984
_cell_length_b 4.984
_cell_length_c 4.554
_cell_angle_alpha 90.00
_cell_angle_beta 90.00
_cell_angle_gamma 90.00
loop_
_atom_site_label
_atom_site_type_symbol
_atom_site_fract_x
_atom_site_fract_y
_atom_site_fract_z
_atom_site_occupancy
K1 K 0.000 0.000 0.000 1
Zn1 Zn 0.000 0.500 0.500 1
Si1 Si 0.500 0.500 0.000 1
Ir1 Ir 0.500 0.500 0.500 1
```

[5]
Here is an optimized crystal structure of La3Nd2Y3 from the Alexandria database. Energies are from PBE-GGA.

Calculated values
Raw total energy in eV per atom: -5.440
Crystal system: orthorhombic

Geometry as CIF:
```
data_La3Nd2Y3
_chemical_formula_sum 'La6 Nd4 Y6'
_symmetry_space_group_name_H-M 'I m m m'
_symmetry_Int_Tables_number 71
_symmetry_space_group_name_Hall '-I 2 2'
_cell_length_a 5.137
_cell_length_b 5.207
_cell_length_c 20.824
_cell_angle_alpha 90.00
_cell_angle_beta 90.00
_cell_angle_gamma 90.00
loop_
_atom_site_label
_atom_site_type_symbol
_atom_site_fract_x
_atom_site_fract_y
_atom_site_fract_z
_atom_site_occupancy
La1 La 0.000 0.000 0.000 1
La2 La 0.000 0.500 0.123 1
Nd1 Nd 0.000 0.000 0.249 1
Y1 Y 0.000 0.000 0.500 1
Y2 Y 0.000 0.500 0.374 1
```

[6]
Here is an optimized crystal structure of NaCd2Pb from the Alexandria database. Energies are from PBE-GGA.

Calculated values
Raw total energy in eV per atom: -1.706
Crystal system: trigonal

Geometry as CIF:
```
data_NaCd2Pb
_chemical_formula_sum 'Na3 Cd6 Pb3'
_symmetry_space_group_name_H-M 'R 3 m'
_symmetry_Int_Tables_number 160
_symmetry_space_group_name_Hall 'R 3 -2"'
_cell_length_a 3.4252
_cell_length_b 3.4252
_cell_length_c 32.2455
_cell_angle_alpha 90.00
_cell_angle_beta 90.00
_cell_angle_gamma 120.00
loop_
_atom_site_label
_atom_site_type_symbol
_atom_site_fract_x
_atom_site_fract_y
_atom_site_fract_z
_atom_site_occupancy
Na1 Na 0.0000 0.0000 0.0000 1
Cd1 Cd 0.0000 0.0000 0.4142 1
Cd2 Cd 0.0000 0.0000 0.5860 1
Pb1 Pb 0.0000 0.0000 0.8335 1
```